{"formula": "ZrAlCu", "functional": "GGA-PBE", "state": "relaxed", "lattice": [[5.463, 0.000, 0.000], [1.360, 5.480, 0.000], [1.569, 2.475, 6.865]], "species": ["Zr", "Zr", "Zr", "Zr", "Al", "Al", "Al", "Al", "Cu", "Cu", "Cu", "Cu"], "fractional_positions": [[0.077, 0.483, 0.201], [0.339, 0.879, 0.761], [0.661, 0.121, 0.239], [0.923, 0.517, 0.799], [0.171, 0.853, 0.417], [0.455, 0.326, 0.848], [0.545, 0.674, 0.152], [0.829, 0.147, 0.583], [0.166, 0.044, 0.073], [0.346, 0.366, 0.505], [0.654, 0.634, 0.495], [0.834, 0.956, 0.927]], "e_form_ev_per_atom": -0.304}